Record 1
Entry from the Alexandria database: a relaxed structure of Tl2In2Rh (PBE).

excess energy over the best structure of this formula in the dataset: 362.2 meV/atom

POSCAR file:
```
Tl2In2Rh
1.0
4.022 0.000 0.000
0.000 4.022 0.000
2.011 2.011 8.304
Tl In Rh
2 2 1
direct
0.250 0.750 0.500 Tl
0.750 0.250 0.500 Tl
0.416 0.416 0.168 In
0.584 0.584 0.832 In
0.000 0.000 0.000 Rh
```


Record 2
Entry from the Alexandria database: a relaxed structure of MgTaOs2 (PBE).

POSCAR file:
```
MgTaOs2
1.0
-0.512 -4.012 1.104
1.150 -0.815 -2.428
5.470 -0.379 1.159
Os Mg Ta
2 1 1
direct
0.000 0.419 0.500 Os
0.000 0.081 0.000 Os
0.500 0.750 0.750 Mg
0.500 0.250 0.250 Ta
```


Record 3
Entry from the Alexandria database: a relaxed structure of AlIn (PBE).

POSCAR file:
```
AlIn
1.0
6.695 0.000 0.000
0.000 6.370 0.000
0.000 0.000 8.732
In Al
8 8
direct
0.434 0.725 0.949 In
0.934 0.775 0.051 In
0.689 0.703 0.592 In
0.311 0.203 0.908 In
0.189 0.797 0.408 In
0.811 0.297 0.092 In
0.066 0.275 0.449 In
0.566 0.225 0.551 In
0.427 0.112 0.236 Al
0.713 0.035 0.827 Al
0.287 0.535 0.673 Al
0.213 0.465 0.173 Al
0.573 0.612 0.264 Al
0.787 0.965 0.327 Al
0.927 0.388 0.764 Al
0.073 0.888 0.736 Al
```


Record 4
Entry from the Alexandria database: a relaxed structure of NaCu2Au2 (PBE).

excess energy over the best structure of this formula in the dataset: 168.7 meV/atom

POSCAR file:
```
NaCu2Au2
1.0
-0.775 -3.528 -1.852
3.866 -0.209 -1.219
2.899 -4.672 3.237
Au Na Cu
2 1 2
direct
0.250 0.750 0.500 Au
0.750 0.250 0.500 Au
0.000 0.000 0.000 Na
0.397 0.397 0.206 Cu
0.603 0.603 0.794 Cu
```


We obtain total magnetization values of 0.00, 0.00, 0.00, 0.00 μB/atom for the records listed above, in that order.
We obtain formation energy values of 46, 8, 17, 3 kJ per mole of atoms for the records listed above, in that order.